Record 1
First-principles (PBE) data for an optimized crystal structure of UTl3S3, as listed in Alexandria.

Values from the calculation:
Energy relative to the elements, uncorrected ... -741 meV/atom
DOS at the Fermi energy ... 12.21 states/eV/cell
Crystal system ... monoclinic

a = 4.0160 Å, b = 8.7395 Å, c = 11.7554 Å
α = 90.26°, β = 90.00°, γ = 90.00°
Atoms (fractional coordinates):
S1 0.2500 0.3342 0.6186
S2 0.2500 0.8965 0.1473
S3 0.7500 0.6658 0.3814
S4 0.7500 0.1035 0.8527
S5 0.7500 0.0923 0.3912
S6 0.2500 0.9077 0.6088
Tl1 0.2500 0.8489 0.8750
Tl2 0.7500 0.1511 0.1250
Tl3 0.7500 0.6221 0.6415
Tl4 0.7500 0.6408 0.1251
Tl5 0.2500 0.3779 0.3585
Tl6 0.2500 0.3592 0.8749
U1 0.2500 0.8788 0.3760
U2 0.7500 0.1212 0.6240



Record 2
First-principles (PBE) data for an optimized crystal structure of CsNbSCl2, as listed in Alexandria.

Values from the calculation:
Energy relative to the elements, uncorrected ... 880 meV/atom
DOS at the Fermi energy ... 10.51 states/eV/cell
Energy above the most stable polymorph in this dataset ... 2057 meV per atom
Crystal system ... tetragonal

a = 6.0449 Å, b = 6.0449 Å, c = 5.4877 Å
α = 90.00°, β = 90.00°, γ = 90.00°
Atoms (fractional coordinates):
Cl1 0.0000 0.5000 0.0000
Cl2 0.5000 0.0000 0.0000
Cs1 0.0000 0.0000 0.0000
Nb1 0.5000 0.5000 0.5000
S1 0.0000 0.0000 0.5000



Record 3
First-principles (PBE) data for an optimized crystal structure of Re2SeCl, as listed in Alexandria.

Values from the calculation:
Energy relative to the elements, uncorrected ... 989 meV/atom
DOS at the Fermi energy ... 3.19 states/eV/cell
Energy above the most stable polymorph in this dataset ... 1004 meV per atom
Crystal system ... tetragonal

a = 4.3641 Å, b = 4.3641 Å, c = 4.3641 Å
α = 110.64°, β = 110.64°, γ = 107.16°
Atoms (fractional coordinates):
Cl1 0.7500 0.2500 0.5000
Se1 0.5000 0.5000 0.0000
Re1 0.0000 0.0000 0.0000
Re2 0.2500 0.7500 0.5000



Record 4
First-principles (PBE) data for an optimized crystal structure of La8CoOs3Br3, as listed in Alexandria.

Values from the calculation:
Energy relative to the elements, uncorrected ... -661 meV/atom
DOS at the Fermi energy ... 6.13 states/eV/cell
Crystal system ... trigonal

a = 8.3536 Å, b = 8.3539 Å, c = 9.2379 Å
α = 116.92°, β = 90.00°, γ = 120.00°
Atoms (fractional coordinates):
La1 0.7320 0.4641 0.6958
La2 0.2283 0.4566 0.6903
La3 0.7717 0.5434 0.3097
La4 0.7331 0.9618 0.6902
La5 0.2669 0.0382 0.3098
La6 0.2680 0.5359 0.3042
La7 0.2287 0.9618 0.6902
La8 0.7713 0.0382 0.3098
Br1 0.0000 0.5000 0.0000
Br2 0.5000 0.5000 0.0000
Br3 0.0000 0.0000 0.0000
Co1 0.0000 0.0000 0.5000
Os1 0.0000 0.5000 0.5000
Os2 0.5000 0.0000 0.5000
Os3 0.5000 0.5000 0.5000



Record 5
First-principles (PBE) data for an optimized crystal structure of DyCuCl6, as listed in Alexandria.

Values from the calculation:
Energy relative to the elements, uncorrected ... -1192 meV/atom
Crystal system ... triclinic

a = 7.7130 Å, b = 8.3599 Å, c = 6.7620 Å
α = 59.33°, β = 58.33°, γ = 40.07°
Atoms (fractional coordinates):
Cl1 0.1116 0.5050 0.6850
Cl2 0.2600 0.9165 0.1530
Cl3 0.7400 0.0835 0.8470
Cl4 0.6241 0.2127 0.2836
Cl5 0.3759 0.7873 0.7164
Cl6 0.8884 0.4950 0.3150
Cu1 0.0000 0.0000 0.0000
Dy1 0.5000 0.5000 0.5000



Record 6
First-principles (PBE) data for an optimized crystal structure of BaScIr2, as listed in Alexandria.

Values from the calculation:
DOS at the Fermi energy ... 2.03 states/eV/cell
Formation enthalpy at 0 K ... 122.7 meV/atom
Energy above the most stable polymorph in this dataset ... 418 meV per atom
Crystal system ... tetragonal

a = 3.7425 Å, b = 4.7889 Å, c = 4.7889 Å
α = 90.00°, β = 90.00°, γ = 90.00°
Atoms (fractional coordinates):
Ir1 0.0000 0.0000 0.0000
Ir2 0.0000 0.5000 0.5000
Sc1 0.5000 0.5000 0.0000
Ba1 0.5000 0.0000 0.5000



Record 7
First-principles (PBE) data for an optimized crystal structure of Na2LiZnAs2, as listed in Alexandria.

Values from the calculation:
DOS at the Fermi energy ... 4.92 states/eV/cell
Formation enthalpy at 0 K ... -455.4 meV/atom
Crystal system ... orthorhombic

a = 5.8431 Å, b = 5.8936 Å, c = 8.3184 Å
α = 110.75°, β = 110.56°, γ = 90.00°
Atoms (fractional coordinates):
As1 0.3678 0.6092 0.2185
As2 0.6322 0.3908 0.7815
As3 0.8506 0.1092 0.2185
As4 0.1494 0.8908 0.7815
Na1 0.0687 0.3226 0.6453
Na2 0.9313 0.6774 0.3547
Na3 0.5766 0.8226 0.6453
Na4 0.4234 0.1774 0.3547
Li1 0.0000 0.2500 0.0000
Li2 0.0000 0.7500 0.0000
Zn1 0.5000 0.7500 0.0000
Zn2 0.5000 0.2500 0.0000



Record 8
First-principles (PBE) data for an optimized crystal structure of SrLiBi2Sb, as listed in Alexandria.

Values from the calculation:
Energy relative to the elements, uncorrected ... -143 meV/atom
DOS at the Fermi energy ... 4.28 states/eV/cell
Crystal system ... tetragonal

a = 6.0593 Å, b = 6.0593 Å, c = 4.9873 Å
α = 90.00°, β = 90.00°, γ = 90.00°
Atoms (fractional coordinates):
Li1 0.0000 0.0000 0.5000
Bi1 0.0000 0.5000 0.0000
Bi2 0.5000 0.0000 0.0000
Sr1 0.5000 0.5000 0.5000
Sb1 0.0000 0.0000 0.0000



Record 9
First-principles (PBE) data for an optimized crystal structure of Th5Sc2Sb5, as listed in Alexandria.

Values from the calculation:
Energy relative to the elements, uncorrected ... -631 meV/atom
DOS at the Fermi energy ... 11.51 states/eV/cell
Crystal system ... monoclinic

a = 4.2969 Å, b = 7.6659 Å, c = 12.7946 Å
α = 111.61°, β = 90.00°, γ = 106.28°
Atoms (fractional coordinates):
Sb1 0.1119 0.2237 0.4099
Sb2 0.3288 0.6576 0.2204
Sb3 0.8881 0.7763 0.5901
Sb4 0.0000 0.0000 0.0000
Sb5 0.6712 0.3424 0.7796
Sc1 0.9534 0.9069 0.1986
Sc2 0.0466 0.0931 0.8014
Th1 0.2611 0.5222 0.6553
Th2 0.7389 0.4778 0.3447
Th3 0.3316 0.6632 0.9528
Th4 0.5000 0.0000 0.5000
Th5 0.6684 0.3368 0.0472



Record 10
First-principles (PBE) data for an optimized crystal structure of Nd8Sm2Dy3, as listed in Alexandria.

Values from the calculation:
DOS at the Fermi energy ... 19.52 states/eV/cell
Formation enthalpy at 0 K ... 202.6 meV/atom
Energy above the most stable polymorph in this dataset ... 41 meV per atom
Crystal system ... monoclinic

a = 5.7431 Å, b = 7.7245 Å, c = 11.0224 Å
α = 110.51°, β = 90.01°, γ = 90.00°
Atoms (fractional coordinates):
Sm1 0.5006 0.7598 0.5196
Sm2 0.4994 0.2402 0.4804
Nd1 0.4998 0.1901 0.7906
Nd2 0.0001 0.8691 0.7383
Nd3 0.4998 0.6005 0.7906
Nd4 0.5002 0.8099 0.2094
Nd5 0.0005 0.6718 0.3435
Nd6 0.5002 0.3995 0.2094
Nd7 0.9999 0.1309 0.2617
Nd8 0.9995 0.3282 0.6565
Dy1 0.0000 0.7149 0.0000
Dy2 0.5000 0.0000 0.0000
Dy3 0.0000 0.2851 0.0000



Record 11
First-principles (PBE) data for an optimized crystal structure of BaCaS, as listed in Alexandria.

Values from the calculation:
Energy relative to the elements, uncorrected ... -1260 meV/atom
DOS at the Fermi energy ... 2.25 states/eV/cell
Energy above the most stable polymorph in this dataset ... 0 meV per atom
Crystal system ... trigonal

a = 4.2006 Å, b = 4.2006 Å, c = 7.3152 Å
α = 90.00°, β = 90.00°, γ = 120.00°
Atoms (fractional coordinates):
Ba1 0.0000 0.0000 0.0781
S1 0.6667 0.3333 0.3608
Ca1 0.3333 0.6667 0.5611



Record 12
First-principles (PBE) data for an optimized crystal structure of PuCuSO, as listed in Alexandria.

Values from the calculation:
Energy relative to the elements, uncorrected ... -1734 meV/atom
DOS at the Fermi energy ... 12.28 states/eV/cell
Crystal system ... trigonal

a = 3.8544 Å, b = 3.8544 Å, c = 10.2173 Å
α = 79.13°, β = 79.13°, γ = 60.00°
Atoms (fractional coordinates):
O1 0.8048 0.8048 0.5855
O2 0.1952 0.1952 0.4145
Pu1 0.8832 0.8832 0.3504
Pu2 0.1168 0.1168 0.6496
Cu1 0.3061 0.3061 0.0817
Cu2 0.6939 0.6939 0.9183
S1 0.3864 0.3864 0.8409
S2 0.6136 0.6136 0.1591



Record 13
First-principles (PBE) data for an optimized crystal structure of NaY2F, as listed in Alexandria.

Values from the calculation:
Energy relative to the elements, uncorrected ... -856 meV/atom
DOS at the Fermi energy ... 3.97 states/eV/cell
Crystal system ... trigonal

a = 3.6931 Å, b = 3.6931 Å, c = 9.7898 Å
α = 79.13°, β = 79.13°, γ = 60.00°
Atoms (fractional coordinates):
Na1 0.0000 0.0000 0.0000
F1 0.5000 0.5000 0.5000
Y1 0.1196 0.1196 0.6413
Y2 0.8804 0.8804 0.3587



Record 14
First-principles (PBE) data for an optimized crystal structure of K2CoAs, as listed in Alexandria.

Values from the calculation:
DOS at the Fermi energy ... 4.52 states/eV/cell
Formation enthalpy at 0 K ... -38.0 meV/atom
Crystal system ... orthorhombic

a = 4.4099 Å, b = 5.7721 Å, c = 5.7833 Å
α = 60.09°, β = 90.00°, γ = 90.00°
Atoms (fractional coordinates):
K1 0.5000 0.2905 0.2939
K2 0.0000 0.9585 0.9579
Co1 0.5000 0.6256 0.6240
As1 0.0000 0.6254 0.6242



Record 15
First-principles (PBE) data for an optimized crystal structure of Ti2CdC, as listed in Alexandria.

Values from the calculation:
DOS at the Fermi energy ... 1.99 states/eV/cell
Formation enthalpy at 0 K ... -552.7 meV/atom
Energy above the most stable polymorph in this dataset ... 0 meV per atom
Crystal system ... monoclinic

a = 3.1217 Å, b = 3.0972 Å, c = 7.5202 Å
α = 103.17°, β = 90.00°, γ = 120.26°
Atoms (fractional coordinates):
Ti1 0.2758 0.0517 0.3449
Ti2 0.7242 0.9483 0.6551
Cd1 0.5000 0.5000 0.0000
C1 0.0000 0.5000 0.5000



Record 16
First-principles (PBE) data for an optimized crystal structure of YZrCdRh, as listed in Alexandria.

Values from the calculation:
DOS at the Fermi energy ... 4.35 states/eV/cell
Formation enthalpy at 0 K ... -362.1 meV/atom
Crystal system ... cubic

a = 4.9425 Å, b = 4.9425 Å, c = 4.9425 Å
α = 60.00°, β = 60.00°, γ = 60.00°
Atoms (fractional coordinates):
Y1 0.7500 0.7500 0.7500
Zr1 0.2500 0.2500 0.2500
Rh1 0.5000 0.5000 0.5000
Cd1 0.0000 0.0000 0.0000



Record 17
First-principles (PBE) data for an optimized crystal structure of La6TmHg, as listed in Alexandria.

Values from the calculation:
DOS at the Fermi energy ... 10.41 states/eV/cell
Formation enthalpy at 0 K ... -87.1 meV/atom
Crystal system ... tetragonal

a = 5.0830 Å, b = 5.0830 Å, c = 10.3447 Å
α = 90.00°, β = 90.00°, γ = 90.00°
Atoms (fractional coordinates):
La1 0.5000 0.0000 0.2536
La2 0.5000 0.0000 0.7464
La3 0.0000 0.5000 0.7464
La4 0.0000 0.5000 0.2536
La5 0.5000 0.5000 0.5000
La6 0.5000 0.5000 0.0000
Tm1 0.0000 0.0000 0.0000
Hg1 0.0000 0.0000 0.5000



Record 18
First-principles (PBE) data for an optimized crystal structure of Li3Er5Se8, as listed in Alexandria.

Values from the calculation:
Energy relative to the elements, uncorrected ... -1712 meV/atom
DOS at the Fermi energy ... 3.57 states/eV/cell
Crystal system ... trigonal

a = 8.0190 Å, b = 8.0190 Å, c = 8.0113 Å
α = 59.97°, β = 59.97°, γ = 60.00°
Atoms (fractional coordinates):
Er1 0.0000 0.5000 0.0000
Er2 0.5000 0.0000 0.0000
Er3 0.5000 0.5000 0.0000
Er4 0.0000 0.0000 0.0000
Er5 0.5000 0.5000 0.5000
Li1 0.5000 0.0000 0.5000
Li2 0.0000 0.0000 0.5000
Li3 0.0000 0.5000 0.5000
Se1 0.7560 0.2500 0.7439
Se2 0.2500 0.2500 0.7439
Se3 0.7500 0.7500 0.2561
Se4 0.2440 0.7500 0.2561
Se5 0.7500 0.2440 0.2561
Se6 0.7510 0.7510 0.7470
Se7 0.2500 0.7560 0.7439
Se8 0.2490 0.2490 0.2530



Record 19
First-principles (PBE) data for an optimized crystal structure of Na2ScCdS, as listed in Alexandria.

Values from the calculation:
Energy relative to the elements, uncorrected ... -451 meV/atom
DOS at the Fermi energy ... 5.18 states/eV/cell
Crystal system ... tetragonal

a = 5.2252 Å, b = 4.9316 Å, c = 5.2252 Å
α = 90.00°, β = 90.00°, γ = 90.00°
Atoms (fractional coordinates):
Na1 0.5000 0.0000 0.0000
Na2 0.0000 0.0000 0.5000
Cd1 0.5000 0.5000 0.5000
S1 0.0000 0.0000 0.0000
Sc1 0.0000 0.5000 0.0000



Record 20
First-principles (PBE) data for an optimized crystal structure of Ba2NpTl3S6, as listed in Alexandria.

Values from the calculation:
Energy relative to the elements, uncorrected ... -1190 meV/atom
DOS at the Fermi energy ... 7.73 states/eV/cell
Crystal system ... monoclinic

a = 7.6738 Å, b = 7.6738 Å, c = 7.6858 Å
α = 99.36°, β = 99.36°, γ = 119.95°
Atoms (fractional coordinates):
S1 0.0701 0.3485 0.2053
S2 0.6515 0.9299 0.7947
S3 0.2131 0.2131 0.7814
S4 0.7869 0.7869 0.2186
S5 0.3485 0.0701 0.2053
S6 0.9299 0.6515 0.7947
Ba1 0.3330 0.6670 0.0000
Ba2 0.6670 0.3330 0.0000
Tl1 0.1571 0.8429 0.5000
Tl2 0.5000 0.5000 0.5000
Tl3 0.8429 0.1571 0.5000
Np1 0.0000 0.0000 0.0000



Record 21
First-principles (PBE) data for an optimized crystal structure of NaPm2Ho3Te6, as listed in Alexandria.

Values from the calculation:
Energy relative to the elements, uncorrected ... -1332 meV/atom
DOS at the Fermi energy ... 3.95 states/eV/cell
Crystal system ... monoclinic

a = 4.3746 Å, b = 8.8894 Å, c = 9.8992 Å
α = 103.52°, β = 102.77°, γ = 90.00°
Atoms (fractional coordinates):
Ho1 0.5000 0.5000 0.0000
Ho2 0.8335 0.1720 0.6671
Ho3 0.1665 0.8280 0.3329
Na1 0.5000 0.0000 0.0000
Te1 0.9995 0.2543 0.9990
Te2 0.6683 0.0777 0.3366
Te3 0.6620 0.5907 0.3239
Te4 0.3317 0.9223 0.6634
Te5 0.3380 0.4093 0.6761
Te6 0.0005 0.7457 0.0010
Pm1 0.8284 0.6543 0.6567
Pm2 0.1716 0.3457 0.3433



Record 22
First-principles (PBE) data for an optimized crystal structure of Li6CuAu8, as listed in Alexandria.

Values from the calculation:
DOS at the Fermi energy ... 3.82 states/eV/cell
Formation enthalpy at 0 K ... -360.5 meV/atom
Crystal system ... trigonal

a = 6.9168 Å, b = 6.9168 Å, c = 6.9168 Å
α = 63.01°, β = 63.01°, γ = 63.01°
Atoms (fractional coordinates):
Li1 0.4627 0.7152 0.9655
Li2 0.0345 0.5373 0.2848
Li3 0.7152 0.9655 0.4627
Li4 0.5373 0.2848 0.0345
Li5 0.9655 0.4627 0.7152
Li6 0.2848 0.0345 0.5373
Au1 0.8696 0.3380 0.1615
Au2 0.4046 0.4046 0.4046
Au3 0.6620 0.8385 0.1304
Au4 0.1304 0.6620 0.8385
Au5 0.1615 0.8696 0.3380
Au6 0.3380 0.1615 0.8696
Au7 0.5954 0.5954 0.5954
Au8 0.8385 0.1304 0.6620
Cu1 0.0000 0.0000 0.0000



Record 23
First-principles (PBE) data for an optimized crystal structure of KPH2, as listed in Alexandria.

Values from the calculation:
DOS at the Fermi energy ... 1.12 states/eV/cell
Energy above the most stable polymorph in this dataset ... 1098 meV per atom
Crystal system ... cubic

a = 4.2566 Å, b = 4.2566 Å, c = 4.2566 Å
α = 60.00°, β = 60.00°, γ = 60.00°
Atoms (fractional coordinates):
H1 0.7500 0.7500 0.7500
H2 0.2500 0.2500 0.2500
P1 0.0000 0.0000 0.0000
K1 0.5000 0.5000 0.5000



Record 24
First-principles (PBE) data for an optimized crystal structure of ZnNi14Rh, as listed in Alexandria.

Values from the calculation:
DOS at the Fermi energy ... 24.81 states/eV/cell
Formation enthalpy at 0 K ... -8.7 meV/atom
Crystal system ... orthorhombic

a = 5.0448 Å, b = 5.0448 Å, c = 8.2276 Å
α = 90.00°, β = 90.00°, γ = 120.17°
Atoms (fractional coordinates):
Ni1 0.3764 0.1241 0.7559
Ni2 0.3738 0.6262 0.7526
Ni3 0.2089 0.7911 0.0000
Ni4 0.5430 0.9602 0.5000
Ni5 0.0398 0.4570 0.5000
Ni6 0.3764 0.1241 0.2441
Ni7 0.2086 0.2921 0.0000
Ni8 0.8759 0.6236 0.2441
Ni9 0.8759 0.6236 0.7559
Ni10 0.7079 0.7914 0.0000
Ni11 0.8739 0.1261 0.7532
Ni12 0.8739 0.1261 0.2468
Ni13 0.3738 0.6262 0.2474
Ni14 0.7090 0.2910 0.0000
Rh1 0.0413 0.9587 0.5000
Zn1 0.5415 0.4585 0.5000